VASP calculation (PBE-GGA) on an optimized crystal structure of HfFeBi2Se.

abc: 5.670 4.675 5.670
angles: 90.00 90.00 90.00
Site moments in Bohr magnetons follow the coordinates.
Atoms (fractional coordinates):
Se  0.500  0.500  0.500  0.01
Fe  0.000  0.500  0.000  2.46
Hf  0.000  0.000  0.000  -0.25
Bi  0.500  0.000  0.000  0.02
Bi  0.000  0.000  0.500  -0.03

Output
DOS at the Fermi energy, states/eV/cell: 6.04
Energy relative to the elements, uncorrected, kJ per mole of atoms: 87
Offset from the most stable computed form, meV/atom: 155

***

VASP calculation (PBE-GGA) on an optimized crystal structure of Ba3In5.

abc: 7.293 7.293 5.546
angles: 90.00 90.00 104.57
Atoms (fractional coordinates):
In  0.248  0.248  0.500
In  0.000  0.500  0.000
In  0.500  0.000  0.000
In  0.752  0.752  0.500
Ba  0.231  0.769  0.500
In  0.000  0.000  0.000
Ba  0.769  0.231  0.500
Ba  0.500  0.500  0.000

Output
DOS at the Fermi energy, states/eV/cell: 4.73
Offset from the most stable computed form, meV/atom: 0
ΔE_f, meV/atom: -289

***

VASP calculation (PBE-GGA) on an optimized crystal structure of ZrAlCd2Ge.

abc: 5.492 5.257 5.492
angles: 90.00 90.00 90.00
Atoms (fractional coordinates):
Cd  0.000  0.000  0.500
Ge  0.500  0.500  0.500
Cd  0.500  0.000  0.000
Zr  0.000  0.000  0.000
Al  0.000  0.500  0.000

Output
DOS at the Fermi energy, states/eV/cell: 3.87
ΔE_f, meV/atom: 1058

***

VASP calculation (PBE-GGA) on an optimized crystal structure of CsErCr2Cl8.

abc: 6.773 6.855 9.444
angles: 66.25 70.03 68.84
Site moments in Bohr magnetons follow the coordinates.
Atoms (fractional coordinates):
Cl  0.172  0.709  0.237  0.02
Cl  0.703  0.222  0.189  -0.01
Cl  0.441  0.276  0.546  -0.03
Cr  0.429  0.475  0.707  3.59
Cl  0.261  0.242  0.946  -0.01
Cl  0.297  0.778  0.811  -0.01
Er  0.000  0.000  0.000  0.05
Cl  0.739  0.758  0.054  -0.01
Cl  0.828  0.291  0.763  0.02
Cl  0.559  0.724  0.454  -0.03
Cr  0.571  0.525  0.293  3.59
Cs  0.000  0.000  0.500  0.01

Output
Energy relative to the elements, uncorrected, kJ per mole of atoms: -148

***

VASP calculation (PBE-GGA) on an optimized crystal structure of SrPm2Ge2.

abc: 5.635 5.635 8.740
angles: 108.81 108.81 90.00
Atoms (fractional coordinates):
Ge  0.191  0.191  0.383
Ge  0.809  0.809  0.617
Pm  0.750  0.250  0.500
Pm  0.250  0.750  0.500
Sr  0.000  0.000  0.000

Output
DOS at the Fermi energy, states/eV/cell: 2.52
ΔE_f, meV/atom: -220

***

VASP calculation (PBE-GGA) on an optimized crystal structure of NaPm3H3.

abc: 6.653 6.653 6.653
angles: 90.00 90.00 90.00
Site moments in Bohr magnetons follow the coordinates.
Atoms (fractional coordinates):
H  0.000  0.500  0.250  0.00
Na  0.500  0.500  0.500  0.02
H  0.750  0.000  0.500  0.00
Pm  0.500  0.000  0.750  0.41
H  0.250  0.000  0.500  0.00
Na  0.000  0.000  0.000  0.02
Pm  0.000  0.750  0.500  0.41
H  0.500  0.750  0.000  0.00
H  0.500  0.250  0.000  0.00
Pm  0.250  0.500  0.000  0.41
Pm  0.750  0.500  0.000  0.41
Pm  0.500  0.000  0.250  0.41
Pm  0.000  0.250  0.500  0.41
H  0.000  0.500  0.750  0.00

Output
DOS at the Fermi energy, states/eV/cell: 10.31
VASP energy, eV/atom: -3.83